1.
A plane-wave DFT calculation with GGA-PBE was carried out for crystalline Re3Mo2Rh8 at its relaxed geometry.

Structure (CIF):
```
data_Re3Mo2Rh8
_chemical_formula_sum 'Re3 Mo2 Rh8'
_cell_length_a 6.828
_cell_length_b 6.828
_cell_length_c 4.946
_cell_angle_alpha 93.77
_cell_angle_beta 93.77
_cell_angle_gamma 62.50
_symmetry_space_group_name_H-M 'P 1'
_symmetry_Int_Tables_number 1
_symmetry_space_group_name_Hall 'P 1'
loop_
_atom_site_label
_atom_site_fract_x
_atom_site_fract_y
_atom_site_fract_z
Re1 0.000 0.000 0.000
Re2 0.183 0.817 0.500
Re3 0.817 0.183 0.500
Mo1 0.206 0.206 0.248
Mo2 0.794 0.794 0.752
Rh1 0.187 0.187 0.729
Rh2 0.188 0.565 0.006
Rh3 0.390 0.390 0.536
Rh4 0.435 0.812 0.994
Rh5 0.565 0.188 0.006
Rh6 0.610 0.610 0.464
Rh7 0.812 0.435 0.994
Rh8 0.813 0.813 0.271
```

Properties
The value obtained for the total energy is -8.8790 eV per atom. As for the total magnetic moment: 0.0 μB per formula unit. The value obtained for the energy of formation is 184.0 meV/atom.

---

2.
A plane-wave DFT calculation with GGA-PBE was carried out for crystalline CsFe2H8 at its relaxed geometry.

Structure (CIF):
```
data_CsFe2H8
_chemical_formula_sum 'Cs1 Fe2 H8'
_cell_length_a 6.224
_cell_length_b 4.446
_cell_length_c 4.446
_cell_angle_alpha 118.97
_cell_angle_beta 90.00
_cell_angle_gamma 90.00
_symmetry_space_group_name_H-M 'P 1'
_symmetry_Int_Tables_number 1
_symmetry_space_group_name_Hall 'P 1'
loop_
_atom_site_label
_atom_site_fract_x
_atom_site_fract_y
_atom_site_fract_z
Cs1 0.000 0.000 0.000
Fe1 0.500 0.384 0.745
Fe2 0.500 0.745 0.384
H1 0.328 0.074 0.493
H2 0.328 0.493 0.074
H3 0.346 0.539 0.539
H4 0.500 0.050 0.803
H5 0.500 0.803 0.050
H6 0.654 0.539 0.539
H7 0.672 0.074 0.493
H8 0.672 0.493 0.074
```

Properties
The value obtained for the total energy is -4.0574 eV per atom. As for the total magnetic moment: 3.0 μB per formula unit.

---

3.
A plane-wave DFT calculation with GGA-PBE was carried out for crystalline Os4Br at its relaxed geometry.

Structure (CIF):
```
data_Os4Br
_chemical_formula_sum 'Os4 Br1'
_cell_length_a 6.748
_cell_length_b 6.748
_cell_length_c 6.748
_cell_angle_alpha 147.62
_cell_angle_beta 147.62
_cell_angle_gamma 46.44
_symmetry_space_group_name_H-M 'P 1'
_symmetry_Int_Tables_number 1
_symmetry_space_group_name_Hall 'P 1'
loop_
_atom_site_label
_atom_site_fract_x
_atom_site_fract_y
_atom_site_fract_z
Os1 0.108 0.108 0.000
Os2 0.250 0.750 0.500
Os3 0.750 0.250 0.500
Os4 0.892 0.892 0.000
Br1 0.500 0.500 0.000
```

Properties
The value obtained for the total energy is -8.2643 eV per atom. As for the total magnetic moment: 0.0 μB per formula unit. As for the formation energy from raw total energies: 1054 meV per atom. For the polymorph energy (0 for the lowest one), the calculation gives 0 meV/atom.

---

4.
A plane-wave DFT calculation with GGA-PBE was carried out for crystalline SiH3Rh at its relaxed geometry.

Structure (CIF):
```
data_SiH3Rh
_chemical_formula_sum 'Si1 H3 Rh1'
_cell_length_a 3.418
_cell_length_b 3.418
_cell_length_c 3.418
_cell_angle_alpha 90.00
_cell_angle_beta 90.00
_cell_angle_gamma 90.00
_symmetry_space_group_name_H-M 'P 1'
_symmetry_Int_Tables_number 1
_symmetry_space_group_name_Hall 'P 1'
loop_
_atom_site_label
_atom_site_fract_x
_atom_site_fract_y
_atom_site_fract_z
Si1 0.000 0.000 0.000
H1 0.000 0.000 0.500
H2 0.000 0.500 0.000
H3 0.500 0.000 0.000
Rh1 0.500 0.500 0.500
```

Properties
The value obtained for the total energy is -3.8199 eV per atom. As for the total magnetic moment: 0.0 μB per formula unit. For the polymorph energy (0 for the lowest one), the calculation gives 441 meV/atom.

---

5.
A plane-wave DFT calculation with GGA-PBE was carried out for crystalline La2TiAlI at its relaxed geometry.

Structure (CIF):
```
data_La2TiAlI
_chemical_formula_sum 'La2 Ti1 Al1 I1'
_cell_length_a 5.926
_cell_length_b 5.926
_cell_length_c 4.978
_cell_angle_alpha 90.00
_cell_angle_beta 90.00
_cell_angle_gamma 90.00
_symmetry_space_group_name_H-M 'P 1'
_symmetry_Int_Tables_number 1
_symmetry_space_group_name_Hall 'P 1'
loop_
_atom_site_label
_atom_site_fract_x
_atom_site_fract_y
_atom_site_fract_z
La1 0.000 0.500 0.000
La2 0.500 0.000 0.000
Ti1 0.000 0.000 0.500
Al1 0.500 0.500 0.500
I1 0.000 0.000 0.000
```

Properties
The value obtained for the total energy is -4.2303 eV per atom. As for the total magnetic moment: 1.2 μB per formula unit. As for the formation energy from raw total energies: 378 meV per atom.

---

6.
A plane-wave DFT calculation with GGA-PBE was carried out for crystalline Ca8InPb2 at its relaxed geometry.

Structure (CIF):
```
data_Ca8InPb2
_chemical_formula_sum 'Ca8 In1 Pb2'
_cell_length_a 9.754
_cell_length_b 9.754
_cell_length_c 9.754
_cell_angle_alpha 147.05
_cell_angle_beta 133.06
_cell_angle_gamma 58.53
_symmetry_space_group_name_H-M 'P 1'
_symmetry_Int_Tables_number 1
_symmetry_space_group_name_Hall 'P 1'
loop_
_atom_site_label
_atom_site_fract_x
_atom_site_fract_y
_atom_site_fract_z
Ca1 0.129 0.358 0.770
Ca2 0.180 0.180 0.000
Ca3 0.262 0.000 0.262
Ca4 0.412 0.642 0.770
Ca5 0.588 0.358 0.230
Ca6 0.738 0.000 0.738
Ca7 0.820 0.820 0.000
Ca8 0.871 0.642 0.230
In1 0.000 0.500 0.500
Pb1 0.312 0.812 0.500
Pb2 0.688 0.188 0.500
```

Properties
The value obtained for the total energy is -2.7147 eV per atom. As for the total magnetic moment: 0.0 μB per formula unit. The value obtained for the energy of formation is -335.8 meV/atom.

---

7.
A plane-wave DFT calculation with GGA-PBE was carried out for crystalline CoRhSN2 at its relaxed geometry.

Structure (CIF):
```
data_CoRhSN2
_chemical_formula_sum 'Co1 Rh1 S1 N2'
_cell_length_a 3.714
_cell_length_b 3.714
_cell_length_c 5.401
_cell_angle_alpha 90.00
_cell_angle_beta 90.00
_cell_angle_gamma 90.00
_symmetry_space_group_name_H-M 'P 1'
_symmetry_Int_Tables_number 1
_symmetry_space_group_name_Hall 'P 1'
loop_
_atom_site_label
_atom_site_fract_x
_atom_site_fract_y
_atom_site_fract_z
Co1 0.000 0.000 0.000
Rh1 0.500 0.500 0.500
S1 0.500 0.500 0.000
N1 0.000 0.500 0.500
N2 0.500 0.000 0.500
```

Properties
The value obtained for the total energy is -5.7785 eV per atom. As for the total magnetic moment: 2.7 μB per formula unit. As for the formation energy from raw total energies: 1269 meV per atom. For the polymorph energy (0 for the lowest one), the calculation gives 197 meV/atom.

---

8.
A plane-wave DFT calculation with GGA-PBE was carried out for crystalline PrCdP2O8 at its relaxed geometry.

Structure (CIF):
```
data_PrCdP2O8
_chemical_formula_sum 'Pr1 Cd1 P2 O8'
_cell_length_a 5.252
_cell_length_b 5.252
_cell_length_c 7.350
_cell_angle_alpha 90.00
_cell_angle_beta 90.00
_cell_angle_gamma 120.00
_symmetry_space_group_name_H-M 'P 1'
_symmetry_Int_Tables_number 1
_symmetry_space_group_name_Hall 'P 1'
loop_
_atom_site_label
_atom_site_fract_x
_atom_site_fract_y
_atom_site_fract_z
Pr1 0.000 0.000 0.000
Cd1 0.000 0.000 0.500
P1 0.333 0.667 0.793
P2 0.667 0.333 0.207
O1 0.172 0.344 0.728
O2 0.172 0.828 0.728
O3 0.333 0.667 0.004
O4 0.344 0.172 0.272
O5 0.656 0.828 0.728
O6 0.667 0.333 0.996
O7 0.828 0.172 0.272
O8 0.828 0.656 0.272
```

Properties
The value obtained for the total energy is -6.8973 eV per atom. As for the total magnetic moment: 1.0 μB per formula unit. As for the formation energy from raw total energies: -2216 meV per atom.

---

9.
A plane-wave DFT calculation with GGA-PBE was carried out for crystalline TmAg at its relaxed geometry.

Structure (CIF):
```
data_TmAg
_chemical_formula_sum 'Tm1 Ag1'
_cell_length_a 4.193
_cell_length_b 4.193
_cell_length_c 4.193
_cell_angle_alpha 60.00
_cell_angle_beta 60.00
_cell_angle_gamma 60.00
_symmetry_space_group_name_H-M 'P 1'
_symmetry_Int_Tables_number 1
_symmetry_space_group_name_Hall 'P 1'
loop_
_atom_site_label
_atom_site_fract_x
_atom_site_fract_y
_atom_site_fract_z
Tm1 0.000 0.000 0.000
Ag1 0.500 0.500 0.500
```

Properties
The value obtained for the total energy is -3.7331 eV per atom. As for the total magnetic moment: 0.0 μB per formula unit. The value obtained for the energy of formation is -71.7 meV/atom.

---

10.
A plane-wave DFT calculation with GGA-PBE was carried out for crystalline YSe at its relaxed geometry.

Structure (CIF):
```
data_YSe
_chemical_formula_sum 'Y2 Se2'
_cell_length_a 6.731
_cell_length_b 6.731
_cell_length_c 6.731
_cell_angle_alpha 40.88
_cell_angle_beta 40.88
_cell_angle_gamma 40.88
_symmetry_space_group_name_H-M 'P 1'
_symmetry_Int_Tables_number 1
_symmetry_space_group_name_Hall 'P 1'
loop_
_atom_site_label
_atom_site_fract_x
_atom_site_fract_y
_atom_site_fract_z
Y1 0.084 0.084 0.084
Y2 0.916 0.916 0.916
Se1 0.337 0.337 0.337
Se2 0.663 0.663 0.663
```

Properties
The value obtained for the total energy is -5.4770 eV per atom. As for the total magnetic moment: 0.0 μB per formula unit. As for the formation energy from raw total energies: -503 meV per atom.

---

11.
A plane-wave DFT calculation with GGA-PBE was carried out for crystalline Y2Cd2Au at its relaxed geometry.

Structure (CIF):
```
data_Y2Cd2Au
_chemical_formula_sum 'Y2 Cd2 Au1'
_cell_length_a 9.187
_cell_length_b 9.187
_cell_length_c 9.187
_cell_angle_alpha 155.48
_cell_angle_beta 155.48
_cell_angle_gamma 34.96
_symmetry_space_group_name_H-M 'P 1'
_symmetry_Int_Tables_number 1
_symmetry_space_group_name_Hall 'P 1'
loop_
_atom_site_label
_atom_site_fract_x
_atom_site_fract_y
_atom_site_fract_z
Y1 0.093 0.093 0.000
Y2 0.907 0.907 0.000
Cd1 0.250 0.750 0.500
Cd2 0.750 0.250 0.500
Au1 0.500 0.500 0.000
```

Properties
The value obtained for the total energy is -3.8181 eV per atom. As for the total magnetic moment: 0.0 μB per formula unit. The value obtained for the energy of formation is -211.0 meV/atom. For the polymorph energy (0 for the lowest one), the calculation gives 209 meV/atom.

---

12.
A plane-wave DFT calculation with GGA-PBE was carried out for crystalline KBr2Cl2 at its relaxed geometry.

Structure (CIF):
```
data_KBr2Cl2
_chemical_formula_sum 'K1 Br2 Cl2'
_cell_length_a 6.593
_cell_length_b 6.593
_cell_length_c 6.593
_cell_angle_alpha 127.13
_cell_angle_beta 127.13
_cell_angle_gamma 78.04
_symmetry_space_group_name_H-M 'P 1'
_symmetry_Int_Tables_number 1
_symmetry_space_group_name_Hall 'P 1'
loop_
_atom_site_label
_atom_site_fract_x
_atom_site_fract_y
_atom_site_fract_z
K1 0.000 0.000 0.000
Br1 0.388 0.388 0.000
Br2 0.612 0.612 0.000
Cl1 0.250 0.750 0.500
Cl2 0.750 0.250 0.500
```

Properties
The value obtained for the total energy is -2.0244 eV per atom. As for the total magnetic moment: 0.0 μB per formula unit. As for the formation energy from raw total energies: -397 meV per atom. For the polymorph energy (0 for the lowest one), the calculation gives 310 meV/atom.